(1)
Density functional theory data (PBE) for a geometry-optimized SnB2Pt structure.

Unit cell a=4.579 b=5.770 c=9.529 alpha=90.00 beta=114.48 gamma=90.00
Atoms (fractional coordinates):
B 0.199 0.000 0.528
B 0.801 0.000 0.472
B 0.199 0.500 0.028
B 0.801 0.500 0.972
B 0.399 0.000 0.403
B 0.601 0.000 0.597
B 0.399 0.500 0.903
B 0.601 0.500 0.097
Sn 0.110 0.000 0.865
Sn 0.890 0.000 0.135
Sn 0.110 0.500 0.365
Sn 0.890 0.500 0.635
Pt 0.500 0.250 0.750
Pt 0.500 0.250 0.250
Pt 0.500 0.750 0.250
Pt 0.500 0.750 0.750

## Properties
ΔH_f (0 K)	0.08	eV per atom
symmetry	C2/m (12)
uncorrected energy	-5.77	eV per atom

---

(2)
Density functional theory data (PBE) for a geometry-optimized SnBPt2 structure.

Unit cell a=5.316 b=5.316 c=6.627 alpha=66.35 beta=66.35 gamma=90.00
Atoms (fractional coordinates):
B 0.500 0.500 0.000
B 0.250 0.750 0.500
Sn 0.000 0.000 0.000
Sn 0.750 0.250 0.500
Pt 0.527 0.125 0.250
Pt 0.223 0.625 0.250
Pt 0.375 0.473 0.750
Pt 0.875 0.777 0.750

## Properties
ΔH_f (0 K)	-0.15	eV per atom
symmetry	I-42d (122)
uncorrected energy	-5.85	eV per atom

---

(3)
Density functional theory data (PBE) for a geometry-optimized SnB2Pt structure.

Unit cell a=4.443 b=5.398 c=5.562 alpha=105.06 beta=102.65 gamma=94.44
Atoms (fractional coordinates):
B 0.874 0.745 0.576
B 0.629 0.784 0.791
B 0.252 0.832 0.666
B 0.499 0.761 0.482
Sn 0.024 0.421 0.852
Sn 0.150 0.092 0.324
Pt 0.525 0.156 0.996
Pt 0.648 0.695 0.146

## Properties
ΔH_f (0 K)	0.08	eV per atom
symmetry	P1 (1)
uncorrected energy	-5.77	eV per atom

---

(4)
Density functional theory data (PBE) for a geometry-optimized SnB2Pt structure.

Unit cell a=4.484 b=5.434 c=5.716 alpha=81.51 beta=78.72 gamma=65.69
Atoms (fractional coordinates):
B 0.190 0.418 0.755
B 0.948 0.217 0.841
B 0.591 0.338 0.710
B 0.814 0.523 0.695
Sn 0.459 0.841 0.436
Sn 0.296 0.426 0.153
Pt 0.950 0.997 0.179
Pt 0.868 0.894 0.718

## Properties
ΔH_f (0 K)	0.12	eV per atom
symmetry	P1 (1)
uncorrected energy	-5.73	eV per atom

---

(5)
Density functional theory data (PBE) for a geometry-optimized SnB2Pt structure.

Unit cell a=4.502 b=5.475 c=6.094 alpha=104.26 beta=103.12 gamma=110.27
Atoms (fractional coordinates):
B 0.079 0.406 0.239
B 0.305 0.218 0.265
B 0.671 0.291 0.208
B 0.468 0.505 0.216
Sn 0.071 0.074 0.563
Sn 0.743 0.681 0.927
Pt 0.679 0.133 0.837
Pt 0.383 0.860 0.259

## Properties
ΔH_f (0 K)	0.09	eV per atom
symmetry	P1 (1)
uncorrected energy	-5.76	eV per atom

---

(6)
Density functional theory data (PBE) for a geometry-optimized SnB2Pt structure.

Unit cell a=4.552 b=5.088 c=6.005 alpha=77.37 beta=89.76 gamma=68.66
Atoms (fractional coordinates):
B 0.062 0.229 0.289
B 0.716 0.254 0.150
B 0.373 0.324 0.277
B 0.716 0.270 0.431
Sn 0.611 0.798 0.933
Sn 0.200 0.544 0.615
Pt 0.112 0.829 0.179
Pt 0.811 0.267 0.779

## Properties
ΔH_f (0 K)	0.11	eV per atom
symmetry	P1 (1)
uncorrected energy	-5.74	eV per atom